{"formula": "Ba2LiTcN4", "functional": "PBE", "state": "relaxed", "formation_energy_uncorrected_ev_per_fu": -5.045, "energy_ev_per_cell": -108.94, "m_tot_mub_per_cell": 0.000, "spacegroup": "Pmmn (59)", "lattice_angstrom": [[5.9444, 0.0000, 0.0000], [0.0000, 6.4550, 0.0000], [0.0000, 0.0000, 7.7775]], "species": ["Ba", "Ba", "Ba", "Ba", "Li", "Li", "Tc", "Tc", "N", "N", "N", "N", "N", "N", "N", "N"], "fractional_positions": [[0.5000, 0.2406, 0.2501], [0.5000, 0.2406, 0.7499], [0.0000, 0.7594, 0.7501], [0.0000, 0.7594, 0.2499], [0.0000, 0.1781, 0.5000], [0.5000, 0.8219, 0.0000], [0.5000, 0.8058, 0.5000], [0.0000, 0.1942, 0.0000], [0.2458, 0.0225, 0.0000], [0.7458, 0.9775, 0.5000], [0.2543, 0.9777, 0.5000], [0.7543, 0.0223, 0.0000], [0.4999, 0.6561, 0.6992], [0.9999, 0.3439, 0.1992], [0.9999, 0.3439, 0.8008], [0.4999, 0.6561, 0.3008]]}